1.
A geometry-optimized FeCuIrPb structure, computed with PBE-GGA.

a = 4.491 Å, b = 4.491 Å, c = 4.491 Å
α = 60.00°, β = 60.00°, γ = 60.00°
Atoms (fractional coordinates):
Fe1 0.000 0.000 0.000
Cu1 0.750 0.750 0.750
Ir1 0.250 0.250 0.250
Pb1 0.500 0.500 0.500

Symmetry: F-43m (216)
Uncorrected energy: -5.75 eV per atom

***

2.
A geometry-optimized FeCuSbIr structure, computed with PBE-GGA.

a = 4.364 Å, b = 4.364 Å, c = 4.364 Å
α = 60.00°, β = 60.00°, γ = 60.00°
Atoms (fractional coordinates):
Fe1 0.000 0.000 0.000
Cu1 0.250 0.250 0.250
Sb1 0.750 0.750 0.750
Ir1 0.500 0.500 0.500

Symmetry: F-43m (216)
Uncorrected energy: -6.10 eV per atom

***

3.
A geometry-optimized TlFeCuIr structure, computed with PBE-GGA.

a = 4.444 Å, b = 4.444 Å, c = 4.444 Å
α = 60.00°, β = 60.00°, γ = 60.00°
Atoms (fractional coordinates):
Tl1 0.000 0.000 0.000
Fe1 0.500 0.500 0.500
Cu1 0.250 0.250 0.250
Ir1 0.750 0.750 0.750

Symmetry: F-43m (216)
Uncorrected energy: -5.43 eV per atom

***

4.
A geometry-optimized ZnFeCuIr structure, computed with PBE-GGA.

a = 4.206 Å, b = 4.206 Å, c = 4.206 Å
α = 60.00°, β = 60.00°, γ = 60.00°
Atoms (fractional coordinates):
Zn1 0.000 0.000 0.000
Fe1 0.500 0.500 0.500
Cu1 0.250 0.250 0.250
Ir1 0.750 0.750 0.750

Symmetry: F-43m (216)
Uncorrected energy: -5.57 eV per atom

***

no.,calculated volume (Å³/atom)
1,16.0
2,14.7
3,15.5
4,13.2